Record 1
PBE SiTcBr, relaxed; total energy = -14.24 eV for the cell shown; energy relative to the elements, uncorrected = 1.0725 eV per atom; total moment = 0.19 Bohr magnetons per cell; SG = F-43m (216)
1.0
4.2936 0.0000 0.0000
2.1468 3.7184 0.0000
2.1468 1.2395 3.5057
Tc Si Br
1 1 1
Cartesian
0.0000 0.0000 0.0000
6.4404 3.7184 2.6293
4.2936 2.4789 1.7529

---

Record 2
PBE Si2TcBr, relaxed; total energy = -21.35 eV for the cell shown; energy relative to the elements, uncorrected = 0.3827 eV per atom; total moment = 0.00 Bohr magnetons per cell; SG = R3m (160)
1.0
-2.8051 -0.5870 -8.7245
0.2041 -0.6214 -9.1598
-1.2681 -3.2021 -8.5128
Si Br Tc
2 1 1
Cartesian
-3.7929 -4.3236 -25.8766
-0.9361 -1.0671 -6.3867
-2.9768 -3.3933 -20.3092
-1.9670 -2.2423 -13.4200

---

Record 3
PBE SiTc2Br, relaxed; total energy = -48.71 eV for the cell shown; energy relative to the elements, uncorrected = 0.8686 eV per atom; total moment = 0.00 Bohr magnetons per cell; SG = I-42d (122)
1.0
5.6279 0.0000 0.0000
0.0000 5.6279 0.0000
2.8139 2.8139 5.2284
Tc Br Si
4 2 2
Cartesian
4.2209 4.2943 3.9213
4.1475 1.4070 1.3071
7.0348 6.9614 3.9213
1.4804 4.2209 1.3071
0.0000 0.0000 0.0000
5.6279 2.8139 2.6142
2.8139 2.8139 0.0000
2.8139 5.6279 2.6142

---

Record 4
PBE SiTcBr2, relaxed; total energy = -16.14 eV for the cell shown; energy relative to the elements, uncorrected = 0.7476 eV per atom; total moment = 0.08 Bohr magnetons per cell; SG = Cmmm (65)
1.0
3.2822 0.0032 0.0000
-1.8358 2.7208 0.0000
0.0000 0.0000 9.2794
Tc Si Br
1 1 2
Cartesian
0.7232 1.3620 6.9595
0.7232 1.3620 2.3198
0.0000 0.0000 4.9314
0.0000 0.0000 8.9877

---

Record 5
PBE SiTcBr, relaxed; total energy = -16.23 eV for the cell shown; energy relative to the elements, uncorrected = 0.4106 eV per atom; total moment = 0.00 Bohr magnetons per cell; SG = I4mm (107)
1.0
6.3748 0.0162 0.0000
4.8017 4.1932 0.0000
-5.5883 -2.1047 2.2317
Br Tc Si
1 1 1
Cartesian
0.3749 0.1412 0.0000
7.7098 2.9037 0.0000
3.0918 1.1644 0.0000

---

Record 6
PBE SiTc2Br, relaxed; total energy = -26.23 eV for the cell shown; energy relative to the elements, uncorrected = 0.4000 eV per atom; total moment = 0.00 Bohr magnetons per cell; SG = R3m (160)
1.0
8.3951 -0.0413 -0.0244
7.8567 2.9584 -0.0244
7.8567 1.4102 2.6008
Tc Br Si
2 1 1
Cartesian
6.1052 1.0959 0.6463
0.0648 0.0116 0.0069
12.1811 2.1865 1.2895
17.8115 3.1971 1.8855